Entry 1:
VASP calculation (PBE-GGA) on Ga2HPt after structural relaxation.

a = 4.7443 Å, b = 4.7443 Å, c = 6.6179 Å
α = 69.00°, β = 69.00°, γ = 90.00°
Closest atoms and distances in Å follow each position.
Sites, in units of the cell vectors:
H  0.5000  0.5000  0.0000  4 Ga 2.00
H  0.2500  0.7500  0.5000  4 Ga 2.00
Ga  0.5338  0.1250  0.2500  2 H 2.00
Ga  0.2162  0.6250  0.2500  2 H 2.00
Ga  0.3750  0.4662  0.7500  2 H 2.00
Ga  0.8750  0.7838  0.7500  2 H 2.00
Pt  0.0000  0.0000  0.0000  4 Ga 2.46
Pt  0.7500  0.2500  0.5000  4 Ga 2.46

Output
As for the polymorph energy (0 for the lowest one): 24.1 kJ/mol of atoms. As for the symmetry: No. 122.


Entry 2:
VASP calculation (PBE-GGA) on PrEuGdIn after structural relaxation.

a = 5.6038 Å, b = 5.6038 Å, c = 5.6038 Å
α = 60.00°, β = 60.00°, γ = 60.00°
Closest atoms and distances in Å follow each position.
Sites, in units of the cell vectors:
Eu  0.7500  0.7500  0.7500  4 Gd 3.43, 4 Pr 3.43
Pr  0.0000  0.0000  0.0000  4 Eu 3.43, 4 In 3.43
Gd  0.5000  0.5000  0.5000  4 In 3.43, 4 Eu 3.43
In  0.2500  0.2500  0.2500  4 Gd 3.43, 4 Pr 3.43

Output
As for the symmetry: No. 216.


Entry 3:
VASP calculation (PBE-GGA) on Pr2RhPb2 after structural relaxation.

a = 4.6447 Å, b = 6.2085 Å, c = 10.6446 Å
α = 88.54°, β = 77.39°, γ = 68.08°
Closest atoms and distances in Å follow each position.
Sites, in units of the cell vectors:
Pr  0.3310  0.6666  0.6708  3 Rh 3.15-3.49, 4 Pb 3.28-3.33
Pr  0.0570  0.7557  0.1303  2 Rh 3.12, 4 Pb 3.31-3.38
Pr  0.6690  0.3334  0.3292  3 Rh 3.15-3.49, 4 Pb 3.28-3.33
Pr  0.9430  0.2443  0.8697  2 Rh 3.12, 4 Pb 3.31-3.38
Rh  0.3982  0.8796  0.3234  4 Pb 2.78-3.00
Rh  0.6018  0.1204  0.6766  4 Pb 2.78-3.00
Pb  0.8904  0.7664  0.4517  3 Rh 2.78-3.00
Pb  0.3516  0.1809  0.1168  1 Rh 2.84, 1 Pb 3.10
Pb  0.1096  0.2336  0.5483  3 Rh 2.78-3.00
Pb  0.6484  0.8191  0.8832  1 Rh 2.84, 1 Pb 3.10

Output
As for the symmetry: No. 12.


Entry 4:
VASP calculation (PBE-GGA) on Sm6InHg6 after structural relaxation.

a = 6.3188 Å, b = 6.3189 Å, c = 10.7059 Å
α = 90.00°, β = 90.00°, γ = 120.01°
Closest atoms and distances in Å follow each position.
Sites, in units of the cell vectors:
Sm  0.0000  0.0000  0.6809  6 Hg 3.25, 1 In 3.42
Sm  0.0000  0.0000  0.3191  6 Hg 3.25, 1 In 3.42
Sm  0.3334  0.6666  0.0000  6 Hg 3.23
Sm  0.6666  0.3334  0.0000  6 Hg 3.23
Sm  0.3333  0.6667  0.5000  6 Hg 3.25
Sm  0.6667  0.3333  0.5000  6 Hg 3.25
In  0.0000  0.0000  0.0000  8 Sm 3.42-3.65
Hg  0.0000  0.5000  0.7515  4 Hg 3.16, 6 Sm 3.23-3.25
Hg  0.5000  0.0000  0.7515  4 Hg 3.16, 6 Sm 3.23-3.25
Hg  0.5000  0.5000  0.7515  4 Hg 3.16, 6 Sm 3.23-3.25
Hg  0.5000  0.0000  0.2485  4 Hg 3.16, 6 Sm 3.23-3.25
Hg  0.0000  0.5000  0.2485  4 Hg 3.16, 6 Sm 3.23-3.25
Hg  0.5000  0.5000  0.2485  4 Hg 3.16, 6 Sm 3.23-3.25

Output
As for the symmetry: No. 191.


Entry 5:
VASP calculation (PBE-GGA) on SrIn2Br after structural relaxation.

a = 5.7341 Å, b = 5.7341 Å, c = 5.7341 Å
α = 60.00°, β = 60.00°, γ = 60.00°
Closest atoms and distances in Å follow each position.
Sites, in units of the cell vectors:
Sr  0.5000  0.5000  0.5000  8 In 3.51
Br  0.0000  0.0000  0.0000  8 In 3.51
In  0.2500  0.2500  0.2500  4 Br 3.51, 4 Sr 3.51
In  0.7500  0.7500  0.7500  4 Br 3.51, 4 Sr 3.51

Output
The formation energy without anion corrections is -0.199 eV per atom. As for the polymorph energy (0 for the lowest one): 48.1 kJ/mol of atoms. As for the symmetry: No. 225.


Entry 6:
VASP calculation (PBE-GGA) on TbCe2InN after structural relaxation.

a = 4.9282 Å, b = 4.8934 Å, c = 4.8934 Å
α = 90.00°, β = 90.00°, γ = 90.00°
Closest atoms and distances in Å follow each position.
Sites, in units of the cell vectors:
Tb  0.5000  0.0000  0.0000  2 N 2.46
Ce  0.0000  0.0000  0.5000  2 N 2.45
Ce  0.0000  0.5000  0.0000  2 N 2.45
In  0.5000  0.5000  0.5000  4 Tb 3.46, 8 Ce 3.47
N  0.0000  0.0000  0.0000  4 Ce 2.45, 2 Tb 2.46

Output
The formation energy without anion corrections is -0.846 eV per atom. As for the symmetry: No. 123.


Entry 7:
VASP calculation (PBE-GGA) on RbAuF3 after structural relaxation.

a = 4.5090 Å, b = 4.5090 Å, c = 4.5090 Å
α = 90.00°, β = 90.00°, γ = 90.00°
Closest atoms and distances in Å follow each position.
Sites, in units of the cell vectors:
Au  0.0000  0.0000  0.0000  6 F 2.25
Rb  0.5000  0.5000  0.5000  12 F 3.19
F  0.0000  0.5000  0.0000  2 Au 2.25
F  0.0000  0.0000  0.5000  2 Au 2.25
F  0.5000  0.0000  0.0000  2 Au 2.25

Output
The formation energy without anion corrections is -1.661 eV per atom. As for the symmetry: No. 221.


Entry 8:
VASP calculation (PBE-GGA) on Ti2NbTcGe after structural relaxation.

a = 4.8053 Å, b = 4.6447 Å, c = 4.8053 Å
α = 90.00°, β = 90.00°, γ = 90.00°
Closest atoms and distances in Å follow each position.
Sites, in units of the cell vectors:
Nb  0.0000  0.0000  0.0000  2 Tc 2.32, 4 Ti 2.40
Ge  0.5000  0.5000  0.5000  8 Ti 3.34, 4 Tc 3.40
Tc  0.0000  0.5000  0.0000  2 Nb 2.32
Ti  0.0000  0.0000  0.5000  2 Nb 2.40
Ti  0.5000  0.0000  0.0000  2 Nb 2.40

Output
As for the symmetry: No. 123.


Total energy in eV per atom, matching the order above: -3.818; -8.129; -5.441; -2.822; -2.407; -6.358; -3.632; -7.017
Magnetic moment in μB per cell, matching the order above: 0.000; 0.284; 0.000; 1.441; 0.000; 1.516; 0.000; 0.987